Material: Li7Mn2Co3O12
Method: DFT, PBE with a Hubbard U
State: relaxed

Structure (POSCAR):
```
Li7Mn2Co3O12
1.0
2.510 -4.389 0.000
2.510 4.389 0.000
-1.752 0.000 9.681
Li Mn Co O
7 2 3 12
direct
0.000 0.000 0.000
0.083 0.409 0.247
0.242 0.242 0.753
0.409 0.083 0.247
0.591 0.917 0.753
0.758 0.758 0.247
0.917 0.591 0.753
0.334 0.666 0.000
0.666 0.334 0.000
0.166 0.834 0.500
0.500 0.500 0.500
0.834 0.166 0.500
0.040 0.680 0.111
0.126 0.126 0.380
0.198 0.525 0.615
0.320 0.960 0.889
0.396 0.396 0.111
0.475 0.802 0.385
0.525 0.198 0.615
0.604 0.604 0.889
0.680 0.040 0.111
0.802 0.475 0.385
0.874 0.874 0.620
0.960 0.320 0.889
```

## Properties
The value obtained for the energy above the most stable polymorph in this dataset is 16 meV per atom. The calculation puts the total energy at -5.881 eV/atom.